1.
OsRu2Rh2: relaxed, GGA-PBE.

Cell lengths 4.5548, 8.4343, 17.5956 Å; angles 90.00, 90.00, 90.00 degrees
Space group Fddd (No. 70, origin choice 2)
Unique sites:
Os  0.1250  0.1250  0.1250 [8 per cell]
Ru  0.0000  0.0000  0.0000 [16 per cell]
Rh  0.1250  0.2909  0.6250 [16 per cell]

Output
- Fermi-level density of states: 72.59 states/eV per cell
- Energy above the lowest structure with this stoichiometry: 1.87 eV per formula unit
- Calculated total energy: -8.01 eV per atom
- DFT formation energy: 889 meV per atom
- Calculated density: 11.76 g cm⁻³

---

2.
OsRu4Rh: relaxed, GGA-PBE.

Cell lengths 4.3257, 2.7426, 14.1801 Å; angles 90.00, 90.00, 90.00 degrees
Space group Amm2 (No. 38)
Unique sites:
Os  0.0000  0.0000  0.0000 [2 per cell]
Ru  0.0000  0.0000  0.3351 [2 per cell]
Ru  0.0000  0.0000  0.6664 [2 per cell]
Ru  0.5000  0.0000  0.5536 [2 per cell]
Ru  0.5000  0.0000  0.8900 [2 per cell]
Rh  0.5000  0.0000  0.2212 [2 per cell]

Output
- Fermi-level density of states: 11.14 states/eV per cell
- Energy above the lowest structure with this stoichiometry: 0.00 eV per formula unit
- Calculated total energy: -9.27 eV per atom
- DFT formation energy: 15 meV per atom
- Calculated density: 13.77 g cm⁻³

---

3.
OsRu2Rh: relaxed, GGA-PBE.

Cell lengths 2.7034, 3.8511, 5.4126 Å; angles 90.00, 90.00, 90.00 degrees
Space group Pmm2 (No. 25)
Unique sites:
Os  0.0000  0.0000  0.0000 [1 per cell]
Ru  0.0000  0.0000  0.5078 [1 per cell]
Ru  0.5000  0.5000  0.7552 [1 per cell]
Rh  0.5000  0.5000  0.2541 [1 per cell]

Output
- Fermi-level density of states: 4.22 states/eV per cell
- Energy above the lowest structure with this stoichiometry: 0.30 eV per formula unit
- Calculated total energy: -9.19 eV per atom
- DFT formation energy: 88 meV per atom
- Calculated density: 14.59 g cm⁻³

---

4.
OsRuRh4: relaxed, GGA-PBE.

Cell lengths 7.0903, 7.0903, 7.0903 Å; angles 90.00, 90.00, 90.00 degrees
Space group F-43m (No. 216)
Unique sites:
Os  0.0000  0.0000  0.0000 [4 per cell]
Ru  0.2500  0.2500  0.7500 [4 per cell]
Rh  0.1250  0.1250  0.3750 [16 per cell]

Output
- Fermi-level density of states: 27.92 states/eV per cell
- Energy above the lowest structure with this stoichiometry: 3.43 eV per formula unit
- Calculated total energy: -7.72 eV per atom
- DFT formation energy: 597 meV per atom
- Calculated density: 13.10 g cm⁻³

---

5.
Os3RuRh: relaxed, GGA-PBE.

Cell lengths 6.9947, 4.7547, 9.3123 Å; angles 90.00, 113.77, 90.00 degrees
Space group P2_1/c (No. 14)
Unique sites:
Os  0.0498  0.1694  0.1995 [4 per cell]
Os  0.1497  0.6658  0.1027 [4 per cell]
Os  0.4501  0.1700  0.8001 [4 per cell]
Ru  0.3494  0.6659  0.8973 [4 per cell]
Rh  0.2503  0.1650  0.9994 [4 per cell]

Output
- Fermi-level density of states: 14.83 states/eV per cell
- Energy above the lowest structure with this stoichiometry: 0.00 eV per formula unit
- Calculated total energy: -10.05 eV per atom
- DFT formation energy: 16 meV per atom
- Calculated density: 18.15 g cm⁻³

---

6.
OsRu2Rh: relaxed, GGA-PBE.

Cell lengths 3.8395, 3.8497, 15.2428 Å; angles 90.00, 90.00, 90.00 degrees
Space group Imma (No. 74)
Unique sites:
Os  0.0000  0.2500  0.1868 [4 per cell]
Ru  0.0000  0.2500  0.4397 [4 per cell]
Ru  0.0000  0.2500  0.9352 [4 per cell]
Rh  0.0000  0.2500  0.6873 [4 per cell]

Output
- Fermi-level density of states: 15.12 states/eV per cell
- Energy above the lowest structure with this stoichiometry: 0.31 eV per formula unit
- Calculated total energy: -9.19 eV per atom
- DFT formation energy: 92 meV per atom
- Calculated density: 14.60 g cm⁻³

---

7.
OsRu2Rh3: relaxed, GGA-PBE.

Cell lengths 7.8989, 8.9521, 5.0367 Å; angles 90.00, 90.00, 90.00 degrees
Space group Cmcm (No. 63)
Unique sites:
Os  0.0000  0.0475  0.2500 [4 per cell]
Ru  0.2115  0.5000  0.0000 [8 per cell]
Rh  0.0000  0.3241  0.2500 [4 per cell]
Rh  0.1607  0.2405  0.7500 [8 per cell]

Output
- Fermi-level density of states: 30.86 states/eV per cell
- Calculated total energy: -8.35 eV per atom
- DFT formation energy: 290 meV per atom
- Calculated density: 13.08 g cm⁻³

---

8.
Os2RuRh8: relaxed, GGA-PBE.

Cell lengths 10.5664, 7.9438, 4.4474 Å; angles 90.00, 103.96, 90.00 degrees
Space group C2/m (No. 12)
Unique sites:
Os  0.1382  0.0000  0.0547 [4 per cell]
Ru  0.0000  0.0000  0.5000 [2 per cell]
Rh  0.0859  0.2714  0.2779 [8 per cell]
Rh  0.0954  0.5000  0.7793 [4 per cell]
Rh  0.2459  0.0000  0.6251 [4 per cell]

Output
- Fermi-level density of states: 31.21 states/eV per cell
- Energy above the lowest structure with this stoichiometry: 6.29 eV per formula unit
- Calculated total energy: -7.63 eV per atom
- DFT formation energy: 603 meV per atom
- Calculated density: 11.96 g cm⁻³

---

9.
Os2Ru2Rh3: relaxed, GGA-PBE.

Cell lengths 2.7280, 27.1495, 2.7369 Å; angles 90.00, 90.00, 90.00 degrees
Space group Cmmm (No. 65)
Unique sites:
Os  0.0000  0.2079  0.0000 [4 per cell]
Ru  0.0000  0.3566  0.5000 [4 per cell]
Rh  0.0000  0.0699  0.0000 [4 per cell]
Rh  0.0000  0.5000  0.5000 [2 per cell]

Output
- Fermi-level density of states: 16.36 states/eV per cell
- Calculated total energy: -8.86 eV per atom
- DFT formation energy: 151 meV per atom
- Calculated density: 14.60 g cm⁻³

---

10.
OsRu4Rh: relaxed, GGA-PBE.

Cell lengths 7.0860, 7.0860, 7.0860 Å; angles 90.00, 90.00, 90.00 degrees
Space group F-43m (No. 216)
Unique sites:
Os  0.0000  0.0000  0.0000 [4 per cell]
Ru  0.1247  0.1247  0.3753 [16 per cell]
Rh  0.2500  0.2500  0.7500 [4 per cell]

Output
- Fermi-level density of states: 46.10 states/eV per cell
- Energy above the lowest structure with this stoichiometry: 3.75 eV per formula unit
- Calculated total energy: -8.64 eV per atom
- DFT formation energy: 641 meV per atom
- Calculated density: 13.02 g cm⁻³

---

11.
Os2RuRh4: relaxed, GGA-PBE.

Cell lengths 6.5135, 6.5135, 5.0228 Å; angles 90.00, 90.00, 90.00 degrees
Space group I4/mmm (No. 139)
Unique sites:
Os  0.0000  0.5000  0.2500 [4 per cell]
Ru  0.0000  0.0000  0.0000 [2 per cell]
Rh  0.1992  0.1992  0.5000 [8 per cell]

Output
- Fermi-level density of states: 21.89 states/eV per cell
- Energy above the lowest structure with this stoichiometry: 0.88 eV per formula unit
- Calculated total energy: -8.26 eV per atom
- DFT formation energy: 474 meV per atom
- Calculated density: 13.92 g cm⁻³

---

12.
OsRu2Rh: relaxed, GGA-PBE.

Cell lengths 2.7121, 2.7121, 7.6759 Å; angles 90.00, 90.00, 90.00 degrees
Space group P4/mmm (No. 123)
Unique sites:
Os  0.0000  0.0000  0.0000 [1 per cell]
Ru  0.5000  0.5000  0.2473 [2 per cell]
Rh  0.0000  0.0000  0.5000 [1 per cell]

Output
- Fermi-level density of states: 4.42 states/eV per cell
- Energy above the lowest structure with this stoichiometry: 0.27 eV per formula unit
- Calculated total energy: -9.20 eV per atom
- DFT formation energy: 81 meV per atom
- Calculated density: 14.57 g cm⁻³

---

Copy entry 9 word for word.
Os2Ru2Rh3: relaxed, GGA-PBE.

Cell lengths 2.7280, 27.1495, 2.7369 Å; angles 90.00, 90.00, 90.00 degrees
Space group Cmmm (No. 65)
Unique sites:
Os  0.0000  0.2079  0.0000 [4 per cell]
Ru  0.0000  0.3566  0.5000 [4 per cell]
Rh  0.0000  0.0699  0.0000 [4 per cell]
Rh  0.0000  0.5000  0.5000 [2 per cell]

Output
- Fermi-level density of states: 16.36 states/eV per cell
- Calculated total energy: -8.86 eV per atom
- DFT formation energy: 151 meV per atom
- Calculated density: 14.60 g cm⁻³

---

Q: DFT formation energy of number 11 (Os2RuRh4)?
A: 474 meV per atom

---

Q: Look up the calculated density of the fourth one.
A: 13.10 g cm⁻³

---

Q: What is the formula in the ninth record?
A: Os2Ru2Rh3